[1]
## TlCr2P (PBE-GGA)

Data for TlCr2P after structural relaxation.

Lattice parameters (Å, degrees): 4.6290 4.6290 4.6290 60.00 60.00 60.00
Last column: nearest neighbours and their distance in Å.
Fractional positions:
Tl: 0.0000 0.0000 0.0000  4 P 2.83, 4 Cr 2.83
Cr: 0.2500 0.2500 0.2500  4 Cr 2.83, 4 Tl 2.83
Cr: 0.5000 0.5000 0.5000  4 P 2.83, 4 Cr 2.83
P: 0.7500 0.7500 0.7500  4 Cr 2.83, 4 Tl 2.83

total magnetization = 0.000 μB per atom
DFT formation energy = 0.631 eV per atom

[2]
## Tl2CrP (PBE-GGA)

Data for Tl2CrP after structural relaxation.

Lattice parameters (Å, degrees): 5.4211 5.4211 5.4211 131.04 131.04 71.75
Last column: nearest neighbours and their distance in Å.
Fractional positions:
Tl: 0.0000 0.0000 0.0000  4 Cr 3.14, 4 Tl 3.14, 4 P 3.18
Tl: 0.7500 0.2500 0.5000  4 P 3.14, 4 Tl 3.14, 4 Cr 3.18
Cr: 0.2500 0.7500 0.5000  4 P 3.14, 8 Tl 3.14-3.18
P: 0.5000 0.5000 0.0000  4 Cr 3.14, 8 Tl 3.14-3.18

total magnetization = 0.987 μB per atom
DFT formation energy = 0.560 eV per atom

[3]
## Tl2CrP (PBE-GGA)

Data for Tl2CrP after structural relaxation.

Lattice parameters (Å, degrees): 5.9947 5.9947 5.9947 138.92 138.92 59.49
Last column: nearest neighbours and their distance in Å.
Fractional positions:
Tl: 0.2500 0.7500 0.5000  4 Tl 2.97
Tl: 0.7500 0.2500 0.5000  4 Tl 2.97
Cr: 0.0000 0.0000 0.0000  4 P 2.97
P: 0.5000 0.5000 0.0000  4 Cr 2.97

total magnetization = 1.043 μB per atom
DFT formation energy = 0.575 eV per atom

no.,D(E_F) (states/eV per cell)
1,0.5
2,2.2
3,2.3